(1)
KVP2Se8 | the Alexandria database | PBE | relaxed; Fermi-level density of states = 0.161 states/eV per atom; E = -4.382 eV per atom; calculated volume = 337.1 Å³ per cell; formation energy (no corrections) = -29.5 kJ per mole of atoms
1.0
6.243 0.000 0.000
3.122 5.407 0.000
3.122 1.802 9.987
P Se V K
2 8 1 1
Direct
0.736 0.736 0.793 P
0.264 0.264 0.207 P
0.637 0.290 0.139 Se
0.290 0.934 0.139 Se
0.363 0.710 0.861 Se
0.066 0.363 0.861 Se
0.807 0.807 0.578 Se
0.934 0.637 0.139 Se
0.710 0.066 0.861 Se
0.193 0.193 0.422 Se
0.000 0.000 0.000 V
0.500 0.500 0.500 K



(2)
Tb2ErTl3Se6 | the Alexandria database | PBE | relaxed; E = -4.873 eV per atom; calculated volume = 354.1 Å³ per cell; formation energy (no corrections) = -133.8 kJ per mole of atoms
1.0
-5.860 -4.088 1.244
3.141 -0.060 -6.536
5.479 -4.487 4.017
Se Tl Er Tb
6 3 1 2
Direct
0.262 0.262 0.795 Se
0.602 0.932 0.796 Se
0.068 0.398 0.204 Se
0.398 0.068 0.204 Se
0.932 0.602 0.796 Se
0.738 0.738 0.205 Se
0.500 0.500 0.500 Tl
0.168 0.832 0.500 Tl
0.832 0.168 0.500 Tl
0.000 0.000 0.000 Er
0.333 0.667 0.000 Tb
0.667 0.333 0.000 Tb